First-principles (PBE) data for HoZnGa4Cu2 after structural relaxation, as listed in Alexandria via LeMat-Bulk.

Cell lengths 4.2859, 4.2859, 25.6519 Å; angles 90.00, 90.00, 120.00 degrees
Space group R-3m (No. 166, hexagonal axes)
Unique sites:
1 Ho 0.0000 0.0000 0.0000
2 Zn 0.0000 0.0000 0.5000
3 Ga 0.0000 0.0000 0.1246
4 Ga 0.0000 0.0000 0.3964
5 Cu 0.0000 0.0000 0.2436

- Formation energy from the elements: -192 meV per atom
- Crystal system: trigonal
- DOS at the Fermi energy: 3.1 states/eV/f.u.

=====

First-principles (PBE) data for HoZnGa2Cu5 after structural relaxation, as listed in Alexandria via LeMat-Bulk.

Cell lengths 4.5093, 4.5093, 7.2720 Å; angles 90.00, 90.00, 90.00 degrees
Space group P4/mmm (No. 123)
Unique sites:
1 Ho 0.0000 0.0000 0.0000
2 Zn 0.0000 0.0000 0.5000
3 Ga 0.5000 0.5000 0.3363
4 Cu 0.0000 0.5000 0.2238
5 Cu 0.5000 0.5000 0.0000

- Formation energy from the elements: 49 meV per atom
- Crystal system: tetragonal
- DOS at the Fermi energy: 3.5 states/eV/f.u.

=====

First-principles (PBE) data for Ho2ZnGa3Cu4 after structural relaxation, as listed in Alexandria via LeMat-Bulk.

Cell lengths 4.0938, 4.0938, 10.1913 Å; angles 90.00, 90.00, 90.00 degrees
Space group P-4m2 (No. 115)
Unique sites:
1 Ho 0.0000 0.5000 0.2467
2 Zn 0.0000 0.0000 0.5000
3 Ga 0.0000 0.5000 0.8688
4 Ga 0.5000 0.5000 0.5000
5 Cu 0.0000 0.0000 0.0000
6 Cu 0.0000 0.5000 0.6360
7 Cu 0.5000 0.5000 0.0000

- Formation energy from the elements: -384 meV per atom
- Crystal system: tetragonal
- DOS at the Fermi energy: 5.7 states/eV/f.u.

=====

First-principles (PBE) data for Ho2Zn3GaCu12 after structural relaxation, as listed in Alexandria via LeMat-Bulk.

Cell lengths 8.7194, 8.7194, 12.3226 Å; angles 90.00, 90.00, 120.00 degrees
Space group R-3m (No. 166, hexagonal axes)
Unique sites:
1 Ho 0.0000 0.0000 0.2062
2 Zn 0.0000 0.5000 0.0000
3 Ga 0.0000 0.0000 0.5000
4 Cu 0.0172 0.5086 0.2061
5 Cu 0.0353 0.5177 0.6011

- Formation energy from the elements: 10 meV per atom
- Crystal system: trigonal
- DOS at the Fermi energy: 8.4 states/eV/f.u.

=====

First-principles (PBE) data for Ho4Zn2GaCu after structural relaxation, as listed in Alexandria via LeMat-Bulk.

Cell lengths 4.9903, 4.9903, 24.4957 Å; angles 90.00, 90.00, 120.00 degrees
Space group R-3m (No. 166, hexagonal axes)
Unique sites:
1 Ho 0.0000 0.0000 0.1234
2 Ho 0.0000 0.0000 0.3734
3 Zn 0.0000 0.0000 0.2492
4 Ga 0.0000 0.0000 0.5000
5 Cu 0.0000 0.0000 0.0000

- Formation energy from the elements: -381 meV per atom
- Crystal system: trigonal
- DOS at the Fermi energy: 6.2 states/eV/f.u.

=====

First-principles (PBE) data for Ho2ZnGa3Cu12 after structural relaxation, as listed in Alexandria via LeMat-Bulk.

Cell lengths 8.7761, 8.7761, 12.3063 Å; angles 90.00, 90.00, 120.00 degrees
Space group R-3m (No. 166, hexagonal axes)
Unique sites:
1 Ho 0.0000 0.0000 0.2006
2 Zn 0.0000 0.0000 0.5000
3 Ga 0.0000 0.5000 0.0000
4 Cu 0.0161 0.5080 0.2050
5 Cu 0.0304 0.5152 0.6015

- Formation energy from the elements: -20 meV per atom
- Crystal system: trigonal
- DOS at the Fermi energy: 7.3 states/eV/f.u.

=====

First-principles (PBE) data for Ho2Zn12GaCu3 after structural relaxation, as listed in Alexandria via LeMat-Bulk.

Cell lengths 9.1976, 9.1976, 12.4505 Å; angles 90.00, 90.00, 120.00 degrees
Space group R-3m (No. 166, hexagonal axes)
Unique sites:
1 Ho 0.0000 0.0000 0.2489
2 Zn 0.0095 0.5048 0.7037
3 Zn 0.0547 0.5273 0.0982
4 Ga 0.0000 0.0000 0.0000
5 Cu 0.0000 0.5000 0.5000

- Formation energy from the elements: -8 meV per atom
- Crystal system: trigonal
- DOS at the Fermi energy: 7.2 states/eV/f.u.

=====

First-principles (PBE) data for GaCuI6 after structural relaxation, as listed in Alexandria via LeMat-Bulk.

Cell lengths 9.1775, 9.4186, 7.7266 Å; angles 90.00, 95.20, 90.00 degrees
Space group C2/m (No. 12)
Unique sites:
1 Ga 0.0000 0.0000 0.0000
2 Cu 0.0000 0.0000 0.5000
3 I 0.0621 0.1961 0.2862
4 I 0.2109 0.5000 0.0544

- Raw formation energy: -146.7 meV/atom
- Crystal system: monoclinic
- DOS at the Fermi energy: 0.4 states/eV/f.u.